# DySc2Au3 (GGA-PBE, optimized geometry)
# E_tot, Ha/atom: -0.1961
# Crystal system: tetragonal
# Formation energy from the elements, eV per formula unit: -4.93
data_DySc2Au3
_chemical_formula_sum 'Dy1 Sc2 Au3'
_cell_length_a 3.447
_cell_length_b 3.447
_cell_length_c 10.526
_cell_angle_alpha 90.00
_cell_angle_beta 90.00
_cell_angle_gamma 90.00
_symmetry_space_group_name_H-M 'P 4/m m m'
_symmetry_Int_Tables_number 123
_symmetry_space_group_name_Hall '-P 4 2'
loop_
_atom_site_label
_atom_site_type_symbol
_atom_site_fract_x
_atom_site_fract_y
_atom_site_fract_z
Dy1 Dy 0.000 0.000 0.000
Sc1 Sc 0.000 0.000 0.339
Au1 Au 0.500 0.500 0.186
Au2 Au 0.500 0.500 0.500